# 1
A relaxed structure of Cr3SiPt, computed with PBE-GGA.

Summary:
ΔE to the lowest computed polymorph in eV/f.u.: 0.00
E in eV for the cell shown: -35.941
Space-group type: No. 221
Fermi-level density of states in states/eV/f.u.: 4.94
Magnetization in μB per atom: 1.063

extended XYZ file:
```
5
Lattice="-3.249 2.321 1.505 -2.488 -1.435 -3.156 -1.210 -3.281 2.446" Properties=species:S:1:pos:R:3 pbc="T T T"
Si 0.000 0.000 0.000
Cr -1.244 -0.718 -1.578
Cr -0.605 -1.640 1.223
Cr -1.625 1.161 0.753
Pt -3.474 -1.198 0.397
```

# 2
A relaxed structure of TlSiPt, computed with PBE-GGA.

Summary:
ΔE to the lowest computed polymorph in eV/f.u.: 0.24
E in eV for the cell shown: -14.126
Space-group type: No. 107
Fermi-level density of states in states/eV/f.u.: 1.33
Magnetization in μB per atom: 0.000

extended XYZ file:
```
3
Lattice="-3.114 -3.656 4.230 -3.929 -4.870 1.344 1.964 -2.521 0.503" Properties=species:S:1:pos:R:3 pbc="T T T"
Si -1.433 -4.786 2.416
Pt -6.658 -8.269 5.357
Tl -4.032 -6.519 3.879
```

# 3
A relaxed structure of Pm3Pr2ThTe6, computed with PBE-GGA.

Summary:
E in eV for the cell shown: -66.218
Space-group type: No. 12
Fermi-level density of states in states/eV/f.u.: 8.15
Magnetization in μB per atom: 0.000

extended XYZ file:
```
12
Lattice="-1.101 1.194 4.169 -2.027 -8.567 1.918 10.013 0.002 0.244" Properties=species:S:1:pos:R:3 pbc="T T T"
Pm 1.480 -6.955 2.383
Pm -1.564 -3.686 3.044
Pm 5.405 -0.416 3.948
Te 5.474 -3.145 2.347
Te 2.447 0.112 3.015
Te 4.437 -7.483 3.316
Te 1.411 -4.226 3.984
Te 8.360 -0.958 4.884
Te -1.475 -6.413 1.447
Pr 4.428 -4.736 4.927
Pr 2.457 -2.635 1.404
Th -0.551 0.597 2.085
```

# 4
A relaxed structure of TlP2CS, computed with PBE-GGA.

Summary:
ΔE to the lowest computed polymorph in eV/f.u.: 7.30
E in eV for the cell shown: -13.371
Space-group type: No. 123
Fermi-level density of states in states/eV/f.u.: 5.48
Magnetization in μB per atom: 0.179

extended XYZ file:
```
5
Lattice="-2.595 -1.246 4.371 -4.325 -0.871 -2.815 1.366 -4.894 -0.584" Properties=species:S:1:pos:R:3 pbc="T T T"
P -2.162 -0.436 -1.408
P -1.297 -0.623 2.185
C -2.776 -3.506 0.486
Tl 0.000 0.000 0.000
S 0.683 -2.447 -0.292
```

Number 1: raw formation energy 879 meV/atom. Number 2: raw formation energy -99 meV/atom. Number 3: raw formation energy -1345 meV/atom. Number 4: raw formation energy 2633 meV/atom.